(1)
Material: DyCuSnIr
Method: DFT, PBE
State: relaxed

Properties
- ΔH_f (0 K) (meV per atom) = -451
- symmetry = F-43m (216)
- calculated total energy (eV/atom) = -5.84

Structure (extended XYZ):
```
4
Lattice="0.000 3.341 3.341 3.341 0.000 3.341 3.341 3.341 0.000" Properties=species:S:1:pos:R:3 pbc="T T T"
Dy 0.000 0.000 0.000
Cu 1.671 1.671 1.671
Sn 3.341 3.341 3.341
Ir 5.012 5.012 5.012
```


(2)
Material: SrDyCuIr
Method: DFT, PBE
State: relaxed

Properties
- ΔH_f (0 K) (meV per atom) = -233
- symmetry = F-43m (216)
- calculated total energy (eV/atom) = -5.04

Structure (extended XYZ):
```
4
Lattice="0.000 3.537 3.537 3.537 0.000 3.537 3.537 3.537 0.000" Properties=species:S:1:pos:R:3 pbc="T T T"
Sr 0.000 0.000 0.000
Dy 3.537 3.537 3.537
Cu 5.305 5.305 5.305
Ir 1.768 1.768 1.768
```


(3)
Material: TbDyCuIr
Method: DFT, PBE
State: relaxed

Properties
- ΔH_f (0 K) (meV per atom) = -581
- symmetry = F-43m (216)
- calculated total energy (eV/atom) = -6.13

Structure (extended XYZ):
```
4
Lattice="0.000 3.453 3.453 3.453 0.000 3.453 3.453 3.453 0.000" Properties=species:S:1:pos:R:3 pbc="T T T"
Tb 0.000 0.000 0.000
Dy 3.453 3.453 3.453
Cu 1.726 1.726 1.726
Ir 5.179 5.179 5.179
```


(4)
Material: DyTiCuIr
Method: DFT, PBE
State: relaxed

Properties
- ΔH_f (0 K) (meV per atom) = -397
- symmetry = F-43m (216)
- calculated total energy (eV/atom) = -6.76

Structure (extended XYZ):
```
4
Lattice="0.000 3.282 3.282 3.282 0.000 3.282 3.282 3.282 0.000" Properties=species:S:1:pos:R:3 pbc="T T T"
Dy 0.000 0.000 0.000
Ti 3.282 3.282 3.282
Cu 4.923 4.923 4.923
Ir 1.641 1.641 1.641
```


Total magnetic moment for the records above, in order: 0.0; 0.0; 0.0; 0.0 μB per formula unit
Density of states at the Fermi level for the records above, in order: 2.18; 2.35; 2.51; 3.88 states/eV per cell